Entry 1:
First-principles (SCAN) data for a crystal of MgAgSb2Au relaxed with PBEsol, as listed in the Alexandria database.

For the magnetic moment, the calculation gives 0.000 μB per cell. The calculation puts the formation energy from raw total energies at 796 meV per atom.

It has space group P4/mmm (No. 123), with a = 5.213 Å, b = 5.213 Å, c = 4.800 Å, α = 90.00°, β = 90.00° and γ = 90.00°. The asymmetric unit holds Mg at (0.000, 0.000, 0.000), Ag at (0.000, 0.000, 0.500), Sb at (0.000, 0.500, 0.000) and Au at (0.500, 0.500, 0.500).

Entry 2:
First-principles (SCAN) data for a crystal of In3RhCl relaxed with PBEsol, as listed in the Alexandria database.

For the magnetic moment, the calculation gives 0.000 μB per cell. The calculation puts the formation energy from raw total energies at -576 meV per atom.

It has space group Pm-3m (No. 221), with a = 5.077 Å, b = 5.077 Å, c = 5.077 Å, α = 90.00°, β = 90.00° and γ = 90.00°. The asymmetric unit holds In at (0.000, 0.000, 0.500), Rh at (0.000, 0.000, 0.000) and Cl at (0.500, 0.500, 0.500).

Entry 3:
First-principles (SCAN) data for a crystal of Li2BeOs relaxed with PBEsol, as listed in the Alexandria database.

For the magnetic moment, the calculation gives 0.001 μB per cell. The calculation puts the formation energy at 0.1180 eV per atom.

It has space group Cmmm (No. 65), with a = 4.607 Å, b = 8.617 Å, c = 2.447 Å, α = 90.00°, β = 90.00° and γ = 90.00°. The asymmetric unit holds Li at (0.250, 0.250, 0.000), Be at (0.000, 0.000, 0.500) and Os at (0.000, 0.500, 0.500).